This record from Alexandria via LeMat-Bulk describes an optimized crystal structure of KMnCd2F8. The functional is PBE+U.

Cell and atoms, written as POSCAR:
```
KMnCd2F8
1.0
5.187 0.068 -0.003
0.118 5.251 -0.005
0.005 0.008 7.118
K Mn Cd F
1 1 2 8
direct
0.000 0.000 0.500
0.000 0.000 0.000
0.500 0.500 0.758
0.500 0.500 0.242
0.182 0.815 0.189
0.702 0.705 0.000
0.818 0.185 0.189
0.818 0.185 0.811
0.298 0.295 0.000
0.182 0.815 0.811
0.667 0.675 0.500
0.333 0.325 0.500
```

The total energy comes out at -53.98 eV per formula unit. Its symmetry is P2/m, No. 10. The spin magnetization is 4.000 Bohr magnetons per cell.